Material: Pm2BeMoO6
Method: DFT, GGA+U
State: optimized geometry

Calculated values
crystal system: monoclinic
E: -7.646 eV/atom

a = 5.432 Å, b = 5.579 Å, c = 9.296 Å
α = 90.00°, β = 124.82°, γ = 90.00°
Space group P2_1/c (No. 14)
Symmetry-distinct sites (fractional):
Pm1 0.231 0.053 0.247 (multiplicity 4)
Be1 0.000 0.000 0.500 (multiplicity 2)
Mo1 0.500 0.000 0.000 (multiplicity 2)
O1 0.142 0.222 0.951 (multiplicity 4)
O2 0.244 0.704 0.955 (multiplicity 4)
O3 0.327 0.021 0.740 (multiplicity 4)